(1)
DFT (PBEsol) results for crystalline K2ZnRh at its relaxed geometry.

```
K2ZnRh
1.0
-2.129 2.765 4.712
2.129 -2.765 4.712
2.129 2.765 -4.712
K Zn Rh
2 1 1
Direct
0.000 0.000 0.000
0.696 0.196 0.500
0.405 0.405 0.000
0.296 0.796 0.500
```

Total energy = -2.64 eV per atom
D(E_F) = 0.341 states/eV/atom
Formation energy = 361 meV/atom
Space group = Imm2

(2)
DFT (PBEsol) results for crystalline Be2ZnCl at its relaxed geometry.

```
Be2ZnCl
1.0
-1.340 2.697 4.341
1.340 -2.697 4.341
1.340 2.697 -4.341
Be Zn Cl
2 1 1
Direct
0.000 0.000 0.000
0.790 0.290 0.500
0.239 0.739 0.500
0.616 0.616 0.000
```

Total energy = -2.53 eV per atom
Uncorrected formation energy = 0.363 eV/atom
D(E_F) = 0.331 states/eV/atom
Relative energy among the computed polymorphs = 0.000 eV per atom
Space group = Imm2

(3)
DFT (PBEsol) results for crystalline TaRe2Tc at its relaxed geometry.

```
TaRe2Tc
1.0
0.000 3.118 3.118
3.118 0.000 3.118
3.118 3.118 0.000
Ta Re Tc
1 2 1
Direct
0.000 0.000 0.000
0.250 0.250 0.250
0.500 0.500 0.500
0.750 0.750 0.750
```

Total energy = -12.64 eV per atom
D(E_F) = 0.940 states/eV/atom
Formation energy = -18 meV/atom
Relative energy among the computed polymorphs = 0.017 eV per atom
Space group = F-43m

(4)
DFT (PBEsol) results for crystalline K2CuReSn at its relaxed geometry.

```
K2CuReSn
1.0
6.490 0.000 0.000
0.000 6.490 0.000
0.000 0.000 5.069
K Cu Re Sn
2 1 1 1
Direct
0.000 0.500 0.000
0.500 0.000 0.000
0.000 0.000 0.500
0.500 0.500 0.500
0.500 0.500 0.000
```

Total energy = -3.34 eV per atom
D(E_F) = 0.916 states/eV/atom
Formation energy = 1500 meV/atom
Space group = P4/mmm

(5)
DFT (PBEsol) results for crystalline CrMoBr2 at its relaxed geometry.

```
CrMoBr2
1.0
4.558 0.000 0.000
0.000 4.558 0.000
0.000 0.000 3.244
Cr Mo Br
1 1 2
Direct
0.000 0.000 0.000
0.500 0.500 0.000
0.000 0.500 0.500
0.500 0.000 0.500
```

Total energy = -5.68 eV per atom
Uncorrected formation energy = 0.759 eV/atom
D(E_F) = 0.715 states/eV/atom
Relative energy among the computed polymorphs = 0.499 eV per atom
Space group = P4/mmm

(6)
DFT (PBEsol) results for crystalline Sr2BrF2 at its relaxed geometry.

```
Sr2BrF2
1.0
-2.151 2.151 6.238
2.151 -2.151 6.238
2.151 2.151 -6.238
Sr Br F
2 1 2
Direct
0.150 0.150 0.000
0.850 0.850 0.000
0.500 0.500 0.000
0.250 0.750 0.500
0.750 0.250 0.500
```

Total energy = -4.73 eV per atom
Uncorrected formation energy = -2.845 eV/atom
D(E_F) = 0.276 states/eV/atom
Space group = I4/mmm

(7)
DFT (PBEsol) results for crystalline NaIn2Si2 at its relaxed geometry.

```
NaIn2Si2
1.0
-2.277 2.277 5.711
2.277 -2.277 5.711
2.277 2.277 -5.711
Na In Si
1 2 2
Direct
0.000 0.000 0.000
0.379 0.379 0.000
0.621 0.621 0.000
0.250 0.750 0.500
0.750 0.250 0.500
```

Total energy = -3.59 eV per atom
Uncorrected formation energy = 0.186 eV/atom
D(E_F) = 0.242 states/eV/atom
Space group = I4/mmm

(8)
DFT (PBEsol) results for crystalline ZrTaMn4 at its relaxed geometry.

```
ZrTaMn4
1.0
0.000 3.415 3.415
3.415 0.000 3.415
3.415 3.415 0.000
Zr Ta Mn
1 1 4
Direct
0.000 0.000 0.000
0.750 0.750 0.750
0.375 0.375 0.375
0.375 0.375 0.874
0.375 0.874 0.375
0.874 0.375 0.375
```

Total energy = -10.28 eV per atom
D(E_F) = 1.127 states/eV/atom
Formation energy = -167 meV/atom
Space group = F-43m

Question: The highest D(E_F) belongs to which entry?
Answer: ZrTaMn4

Please write out number 5 again, unchanged.
DFT (PBEsol) results for crystalline CrMoBr2 at its relaxed geometry.

```
CrMoBr2
1.0
4.558 0.000 0.000
0.000 4.558 0.000
0.000 0.000 3.244
Cr Mo Br
1 1 2
Direct
0.000 0.000 0.000
0.500 0.500 0.000
0.000 0.500 0.500
0.500 0.000 0.500
```

Total energy = -5.68 eV per atom
Uncorrected formation energy = 0.759 eV/atom
D(E_F) = 0.715 states/eV/atom
Relative energy among the computed polymorphs = 0.499 eV per atom
Space group = P4/mmm

Question: total energy of number 1 (K2ZnRh)?
Answer: -2.64 eV per atom